# 1
Density functional theory data (GGA-PBE) for an optimized crystal structure of Li2YCu.

Cell: 4.485 4.485 5.153 Å, 64.87 64.87 59.74°
Fractional positions:
Y 0.497 0.497 0.511
Cu 0.715 0.715 0.853
Li 0.008 0.008 0.976
Li 0.280 0.280 0.160

Values from the calculation:
The calculation puts the distance to the lowest polymorph of the same formula at 58 meV/atom. The formation energy is 0.037 eV/atom.

=====

# 2
Density functional theory data (GGA-PBE) for an optimized crystal structure of PrAl.

Cell: 5.782 6.024 11.927 Å, 90.00 90.00 90.00°
Fractional positions:
Al 0.500 0.925 0.250
Al 0.750 0.667 0.399
Al 0.000 0.075 0.750
Al 0.250 0.667 0.101
Al 0.500 0.075 0.750
Al 0.000 0.925 0.250
Al 0.250 0.333 0.601
Al 0.750 0.333 0.899
Pr 0.750 0.404 0.167
Pr 0.750 0.835 0.990
Pr 0.250 0.165 0.010
Pr 0.250 0.404 0.333
Pr 0.750 0.165 0.490
Pr 0.250 0.596 0.833
Pr 0.250 0.835 0.510
Pr 0.750 0.596 0.667

Values from the calculation:
The formation energy is -0.385 eV/atom.

=====

# 3
Density functional theory data (GGA-PBE) for an optimized crystal structure of Li6Hg2Au.

Cell: 5.388 7.794 5.302 Å, 137.32 93.98 90.00°
Fractional positions:
Li 0.500 0.835 0.000
Li 0.164 0.836 0.336
Li 0.164 0.500 0.336
Li 0.836 0.500 0.664
Li 0.836 0.164 0.664
Li 0.500 0.165 0.000
Hg 0.330 0.330 0.661
Hg 0.670 0.670 0.339
Au 0.000 0.000 0.000

Values from the calculation:
The formation energy is -0.321 eV/atom.

=====

# 4
Density functional theory data (GGA-PBE) for an optimized crystal structure of Nd2GaNi2Pt5.

Cell: 3.968 9.364 9.364 Å, 90.00 90.00 90.00°
Fractional positions:
Pt 0.500 0.706 0.433
Pt 0.500 0.294 0.567
Pt 0.500 0.206 0.067
Pt 0.500 0.567 0.706
Pt 0.500 0.500 0.000
Pt 0.500 0.067 0.794
Pt 0.500 0.000 0.500
Pt 0.500 0.794 0.933
Pt 0.500 0.933 0.206
Pt 0.500 0.433 0.294
Nd 0.000 0.176 0.324
Nd 0.000 0.824 0.676
Nd 0.000 0.676 0.176
Nd 0.000 0.324 0.824
Ni 0.000 0.623 0.877
Ni 0.000 0.123 0.623
Ni 0.000 0.377 0.123
Ni 0.000 0.877 0.377
Ga 0.000 0.500 0.500
Ga 0.000 0.000 0.000

Values from the calculation:
The formation energy is -0.771 eV/atom.